Record 1
# Pr3ErBi2 | Alexandria via LeMat-Bulk | PBE | optimized geometry
data_Pr3ErBi2
_chemical_formula_sum 'Pr3 Er1 Bi2'
_space_group_name_H-M_alt 'P 1'
_space_group_IT_number 1
_cell_length_a 4.6658
_cell_length_b 4.6658
_cell_length_c 9.0126
_cell_angle_alpha 90.00
_cell_angle_beta 90.00
_cell_angle_gamma 90.00
loop_
_space_group_symop_operation_xyz
'x,y,z'
loop_
_atom_site_label
_atom_site_type_symbol
_atom_site_fract_x
_atom_site_fract_y
_atom_site_fract_z
_atom_site_occupancy
Pr1 Pr 0.5000 0.0000 0.3517 1
Pr2 Pr 0.0000 0.5000 0.6483 1
Pr3 Pr 0.0000 0.0000 0.0000 1
Er1 Er 0.5000 0.5000 0.0000 1
Bi1 Bi 0.5000 0.0000 0.7227 1
Bi2 Bi 0.0000 0.5000 0.2773 1
# - symmetry = P-4m2, No. 115
# - formation energy from the elements (eV/f.u.) = -3.89

***

Record 2
# Pr3ErBi4 | Alexandria via LeMat-Bulk | PBE | optimized geometry
data_Pr3ErBi4
_chemical_formula_sum 'Pr3 Er1 Bi4'
_space_group_name_H-M_alt 'P 1'
_space_group_IT_number 1
_cell_length_a 4.5991
_cell_length_b 7.9570
_cell_length_c 7.9570
_cell_angle_alpha 109.50
_cell_angle_beta 90.00
_cell_angle_gamma 90.00
loop_
_space_group_symop_operation_xyz
'x,y,z'
loop_
_atom_site_label
_atom_site_type_symbol
_atom_site_fract_x
_atom_site_fract_y
_atom_site_fract_z
_atom_site_occupancy
Pr1 Pr 0.0000 0.0000 0.5000 1
Pr2 Pr 0.5000 0.5000 0.5000 1
Pr3 Pr 0.0000 0.5000 0.0000 1
Er1 Er 0.5000 0.0000 0.0000 1
Bi1 Bi 0.0000 0.2414 0.2414 1
Bi2 Bi 0.5000 0.7543 0.2457 1
Bi3 Bi 0.0000 0.7586 0.7586 1
Bi4 Bi 0.5000 0.2457 0.7543 1
# - symmetry = Cmmm, No. 65
# - formation energy from the elements (eV/f.u.) = -7.32

***

Record 3
# PrEr3Bi3 | Alexandria via LeMat-Bulk | PBE | optimized geometry
data_PrEr3Bi3
_chemical_formula_sum 'Pr2 Er6 Bi6'
_space_group_name_H-M_alt 'P 1'
_space_group_IT_number 1
_cell_length_a 5.7749
_cell_length_b 9.2357
_cell_length_c 9.2357
_cell_angle_alpha 120.00
_cell_angle_beta 90.00
_cell_angle_gamma 90.00
loop_
_space_group_symop_operation_xyz
'x,y,z'
loop_
_atom_site_label
_atom_site_type_symbol
_atom_site_fract_x
_atom_site_fract_y
_atom_site_fract_z
_atom_site_occupancy
Pr1 Pr 0.2500 0.6667 0.3333 1
Pr2 Pr 0.7500 0.3333 0.6667 1
Er1 Er 0.2500 0.7764 0.7598 1
Er2 Er 0.2500 0.2402 0.0166 1
Er3 Er 0.2500 0.9834 0.2236 1
Er4 Er 0.7500 0.2236 0.2402 1
Er5 Er 0.7500 0.7598 0.9834 1
Er6 Er 0.7500 0.0166 0.7764 1
Bi1 Bi 0.7500 0.6339 0.5674 1
Bi2 Bi 0.7500 0.4326 0.0665 1
Bi3 Bi 0.7500 0.9335 0.3661 1
Bi4 Bi 0.2500 0.3661 0.4326 1
Bi5 Bi 0.2500 0.5674 0.9335 1
Bi6 Bi 0.2500 0.0665 0.6339 1
# - symmetry = P6_3/m, No. 176
# - formation energy from the elements (eV/f.u.) = -4.16

***

Record 4
# PrErBi | Alexandria via LeMat-Bulk | PBE | optimized geometry
data_PrErBi
_chemical_formula_sum 'Pr4 Er4 Bi4'
_space_group_name_H-M_alt 'P 1'
_space_group_IT_number 1
_cell_length_a 7.4384
_cell_length_b 7.4384
_cell_length_c 7.4384
_cell_angle_alpha 90.00
_cell_angle_beta 90.00
_cell_angle_gamma 90.00
loop_
_space_group_symop_operation_xyz
'x,y,z'
loop_
_atom_site_label
_atom_site_type_symbol
_atom_site_fract_x
_atom_site_fract_y
_atom_site_fract_z
_atom_site_occupancy
Bi1 Bi 0.7502 0.7502 0.7502 1
Bi2 Bi 0.7498 0.2498 0.2502 1
Bi3 Bi 0.2502 0.7498 0.2498 1
Bi4 Bi 0.2498 0.2502 0.7498 1
Pr1 Pr 0.5002 0.5002 0.5002 1
Pr2 Pr 0.9998 0.4998 0.0002 1
Pr3 Pr 0.0002 0.9998 0.4998 1
Pr4 Pr 0.4998 0.0002 0.9998 1
Er1 Er 0.0001 0.0001 0.0001 1
Er2 Er 0.4999 0.9999 0.5001 1
Er3 Er 0.5001 0.4999 0.9999 1
Er4 Er 0.9999 0.5001 0.4999 1
# - symmetry = F-43m, No. 216
# - formation energy from the elements (eV/f.u.) = -0.96

***

Record 5
# PrErBi | Alexandria via LeMat-Bulk | PBE | optimized geometry
data_PrErBi
_chemical_formula_sum 'Pr1 Er1 Bi1'
_space_group_name_H-M_alt 'P 1'
_space_group_IT_number 1
_cell_length_a 4.1052
_cell_length_b 5.2512
_cell_length_c 5.2512
_cell_angle_alpha 120.00
_cell_angle_beta 90.00
_cell_angle_gamma 90.00
loop_
_space_group_symop_operation_xyz
'x,y,z'
loop_
_atom_site_label
_atom_site_type_symbol
_atom_site_fract_x
_atom_site_fract_y
_atom_site_fract_z
_atom_site_occupancy
Pr1 Pr 0.6927 0.3333 0.6667 1
Bi1 Bi 0.0903 0.0000 0.0000 1
Er1 Er 0.2170 0.6667 0.3333 1
# - symmetry = P3m1, No. 156
# - formation energy from the elements (eV/f.u.) = -0.90

***

Record 6
# PrEr2Bi | Alexandria via LeMat-Bulk | PBE | optimized geometry
data_PrEr2Bi
_chemical_formula_sum 'Pr1 Er2 Bi1'
_space_group_name_H-M_alt 'P 1'
_space_group_IT_number 1
_cell_length_a 4.8783
_cell_length_b 4.9238
_cell_length_c 4.9238
_cell_angle_alpha 90.00
_cell_angle_beta 90.00
_cell_angle_gamma 90.00
loop_
_space_group_symop_operation_xyz
'x,y,z'
loop_
_atom_site_label
_atom_site_type_symbol
_atom_site_fract_x
_atom_site_fract_y
_atom_site_fract_z
_atom_site_occupancy
Pr1 Pr 0.5000 0.0000 0.0000 1
Bi1 Bi 0.5000 0.5000 0.5000 1
Er1 Er 0.0000 0.0000 0.5000 1
Er2 Er 0.0000 0.5000 0.0000 1
# - symmetry = P4/mmm, No. 123
# - formation energy from the elements (eV/f.u.) = -1.39

***

Record 7
# PrErBi | Alexandria via LeMat-Bulk | PBE | optimized geometry
data_PrErBi
_chemical_formula_sum 'Pr1 Er1 Bi1'
_space_group_name_H-M_alt 'P 1'
_space_group_IT_number 1
_cell_length_a 4.1066
_cell_length_b 4.1066
_cell_length_c 6.2497
_cell_angle_alpha 109.18
_cell_angle_beta 109.18
_cell_angle_gamma 90.00
loop_
_space_group_symop_operation_xyz
'x,y,z'
loop_
_atom_site_label
_atom_site_type_symbol
_atom_site_fract_x
_atom_site_fract_y
_atom_site_fract_z
_atom_site_occupancy
Pr1 Pr 0.9575 0.9575 0.9149 1
Bi1 Bi 0.6258 0.6258 0.2516 1
Er1 Er 0.2667 0.2667 0.5335 1
# - symmetry = I4mm, No. 107
# - formation energy from the elements (eV/f.u.) = -1.40

***

Record 8
# PrEr2Bi | Alexandria via LeMat-Bulk | PBE | optimized geometry
data_PrEr2Bi
_chemical_formula_sum 'Pr1 Er2 Bi1'
_space_group_name_H-M_alt 'P 1'
_space_group_IT_number 1
_cell_length_a 3.5678
_cell_length_b 3.5678
_cell_length_c 12.2159
_cell_angle_alpha 81.60
_cell_angle_beta 81.60
_cell_angle_gamma 60.00
loop_
_space_group_symop_operation_xyz
'x,y,z'
loop_
_atom_site_label
_atom_site_type_symbol
_atom_site_fract_x
_atom_site_fract_y
_atom_site_fract_z
_atom_site_occupancy
Pr1 Pr 0.5000 0.5000 0.5000 1
Bi1 Bi 0.0000 0.0000 0.0000 1
Er1 Er 0.0868 0.0868 0.7396 1
Er2 Er 0.9132 0.9132 0.2604 1
# - symmetry = R-3m, No. 166
# - formation energy from the elements (eV/f.u.) = 0.14

***

Energy for every record listed, in sequence, given in eV/cell: -30.55; -41.74; -68.55; -56.75; -14.13; -19.18; -14.63; -17.65.